Entry from Alexandria via LeMat-Bulk: a geometry-optimized In2TcRh structure (PBE).

a = 4.598 Å, b = 4.598 Å, c = 4.598 Å
α = 60.00°, β = 60.00°, γ = 60.00°
Element x y z (fractional)
Rh1 0.500 0.500 0.500
Tc1 0.000 0.000 0.000
In1 0.250 0.250 0.250
In2 0.750 0.750 0.750

relative energy among the computed polymorphs: 0.036 eV/atom
ΔH_f (0 K): 0.022 eV/atom
space group: Fm-3m (225)